Computed, not measured: crystalline SrLa3Pb at its relaxed geometry at the PBE-GGA level of DFT.

```
5
Lattice="5.8321 0.0000 0.0000 0.0000 5.8321 0.0000 0.0000 0.0000 5.8321" Properties=species:S:1:pos:R:3 pbc="T T T"
Sr 0.0000 0.0000 0.0000
La 0.0000 0.0000 2.9161
La 0.0000 2.9161 0.0000
La 2.9161 0.0000 0.0000
Pb 2.9161 2.9161 2.9161
```

Output
total magnetic moment: 0.000 μB per cell
formation energy from the elements: 762 meV per atom
uncorrected energy: -3.27 eV/atom
calculated volume: 39.674 Å³/atom
distance to the lowest polymorph of the same formula: 640 meV/atom
SG: No. 221